(1)
! LaPrMg2, optimized geometry, DFT PBE; values from VASP
! Energy ... -3.3416 eV per atom
! Energy above the lowest structure with this stoichiometry ... 3.9 meV per atom
! Formation energy ... -0.1175 eV/atom
! D(E_F) ... 1.055 states/eV/atom
&SYSTEM
  ibrav = 0, nat = 4, ntyp = 3
/
ATOMIC_SPECIES
Pr 140.91 Pr.upf
Mg 24.30 Mg.upf
La 138.91 La.upf
CELL_PARAMETERS angstrom
3.946 0.000 0.000
0.000 5.565 0.000
0.000 0.000 5.565
ATOMIC_POSITIONS angstrom
Pr 1.973 2.782 2.782
Mg 0.000 2.782 0.000
La 1.973 0.000 0.000
Mg 0.000 0.000 2.782

(2)
! TaMn2Pd, optimized geometry, DFT PBE; values from VASP
! Energy ... -8.8929 eV per atom
! Energy above the lowest structure with this stoichiometry ... 48.9 meV per atom
! Formation energy ... -0.0467 eV/atom
! D(E_F) ... 0.528 states/eV/atom
&SYSTEM
  ibrav = 0, nat = 4, ntyp = 3
/
ATOMIC_SPECIES
Pd 106.42 Pd.upf
Ta 180.95 Ta.upf
Mn 54.94 Mn.upf
CELL_PARAMETERS angstrom
-2.576 -2.972 -1.859
-4.144 -0.385 1.267
-3.211 1.258 -2.652
ATOMIC_POSITIONS angstrom
Pd 0.000 0.000 0.000
Ta -4.966 -1.050 -1.622
Mn -7.449 -1.574 -2.433
Mn -2.483 -0.525 -0.811

(3)
! Cd4PS2Cl, optimized geometry, DFT PBE; values from VASP
! Energy ... -2.7825 eV per atom
! Uncorrected formation energy ... -386.0 meV/atom
! D(E_F) ... 0.201 states/eV/atom
&SYSTEM
  ibrav = 0, nat = 16, ntyp = 4
/
ATOMIC_SPECIES
Cd 112.41 Cd.upf
S 32.06 S.upf
Cl 35.45 Cl.upf
P 30.97 P.upf
CELL_PARAMETERS angstrom
7.859 0.059 -0.053
0.054 7.859 -0.053
-3.992 -3.995 5.650
ATOMIC_POSITIONS angstrom
Cd 0.130 3.949 2.883
S 3.956 3.959 -0.053
Cd 1.996 1.890 0.025
Cd 0.072 -0.035 2.747
Cd 1.878 -2.106 5.485
S 3.929 0.030 -0.027
S 1.933 -1.968 2.798
S -1.996 -1.997 2.825
Cl 0.027 3.929 -0.027
Cl 5.890 1.991 2.745
Cd 2.043 6.029 0.058
P 3.920 3.923 5.543
Cd 1.925 2.033 5.519
Cd 3.849 3.958 2.796
P 1.960 1.961 2.772
Cd 3.791 -0.026 2.660

(4)
! UAlNi6, optimized geometry, DFT PBE; values from VASP
! Energy ... -6.5453 eV per atom
! Energy above the lowest structure with this stoichiometry ... 7.1 meV per atom
! Formation energy ... -0.3305 eV/atom
! D(E_F) ... 0.748 states/eV/atom
&SYSTEM
  ibrav = 0, nat = 32, ntyp = 3
/
ATOMIC_SPECIES
U 238.03 U.upf
Ni 58.69 Ni.upf
Al 26.98 Al.upf
CELL_PARAMETERS angstrom
-2.870 3.639 -4.389
2.302 -5.265 -2.780
-9.098 -4.951 1.845
ATOMIC_POSITIONS angstrom
U -6.992 -4.463 -2.224
Ni -8.679 -3.610 -0.378
Al -2.355 -1.282 0.478
Ni -7.692 -6.617 -3.586
Ni -4.241 -1.163 -1.259
Ni -4.530 -1.991 -4.912
Ni -1.974 0.040 -1.738
Ni -3.235 -4.222 -4.509
Al -3.559 -5.481 -2.266
Ni -7.407 -5.799 0.017
Ni -0.988 -2.967 -4.945
Ni -0.284 -0.813 -3.584
Ni -4.549 -2.476 0.922
Ni -3.923 0.145 -3.513
U -2.674 -2.114 -3.100
Ni -8.964 -4.427 -3.982
Ni -8.336 -2.258 -2.618
Al -6.107 -1.096 -3.058
Ni -6.431 -2.355 -0.815
Al -6.742 -3.670 1.367
Ni -5.744 -6.721 -1.811
Ni -5.136 -4.586 -0.412
U 1.031 -3.078 -3.175
U -1.600 1.452 -3.993
Ni -2.260 -0.778 -5.341
Ni -0.702 -2.150 -1.342
Ni -2.945 -3.393 -0.856
Ni -4.833 -3.288 -2.662
Ni -5.426 -5.414 -4.065
Ni -6.721 -3.184 -4.468
Ni 0.000 0.000 0.000
Ni -1.330 -4.319 -2.706

(5)
! Tm3Ga4Rh2, optimized geometry, DFT PBE; values from VASP
! Energy ... -5.2070 eV per atom
! Energy above the lowest structure with this stoichiometry ... 52.0 meV per atom
! Formation energy ... -0.7375 eV/atom
! D(E_F) ... 0.585 states/eV/atom
&SYSTEM
  ibrav = 0, nat = 9, ntyp = 3
/
ATOMIC_SPECIES
Ga 69.72 Ga.upf
Tm 168.93 Tm.upf
Rh 102.91 Rh.upf
CELL_PARAMETERS angstrom
4.308 0.000 0.000
-2.154 5.106 0.049
0.000 -2.144 7.972
ATOMIC_POSITIONS angstrom
Ga 2.154 1.909 0.520
Tm 0.000 0.000 0.000
Ga 0.000 -0.519 5.205
Tm 0.000 2.522 5.007
Ga 2.154 3.481 2.816
Tm 2.154 0.441 3.014
Rh 0.000 2.463 1.999
Ga 0.000 1.053 7.501
Rh 2.154 0.499 6.021

(6)
! SmDyP2, optimized geometry, DFT PBE; values from VASP
! Energy ... -6.6261 eV per atom
! Energy above the lowest structure with this stoichiometry ... 0.0 meV per atom
! Formation energy ... -1.5909 eV/atom
! D(E_F) ... 0.103 states/eV/atom
&SYSTEM
  ibrav = 0, nat = 4, ntyp = 3
/
ATOMIC_SPECIES
Sm 150.36 Sm.upf
P 30.97 P.upf
Dy 162.50 Dy.upf
CELL_PARAMETERS angstrom
4.060 0.012 0.015
2.019 3.522 0.015
2.005 1.166 6.629
ATOMIC_POSITIONS angstrom
Sm 4.042 2.350 3.330
P 2.021 1.175 1.624
P 6.062 3.525 5.035
Dy 0.000 0.000 0.000

(7)
! Ho2SCl, optimized geometry, DFT PBE; values from VASP
! Energy ... -5.3170 eV per atom
! Uncorrected formation energy ... -1534.6 meV/atom
! Energy above the lowest structure with this stoichiometry ... 9.8 meV per atom
! D(E_F) ... 0.599 states/eV/atom
&SYSTEM
  ibrav = 0, nat = 4, ntyp = 3
/
ATOMIC_SPECIES
Cl 35.45 Cl.upf
S 32.06 S.upf
Ho 164.93 Ho.upf
CELL_PARAMETERS angstrom
3.696 0.000 0.000
1.848 3.201 0.000
1.848 1.067 7.473
ATOMIC_POSITIONS angstrom
Cl 3.696 2.134 3.786
S 5.544 3.201 7.470
Ho 1.848 1.067 5.866
Ho 1.848 1.067 1.561

(8)
! Y2MgTcB, optimized geometry, DFT PBE; values from VASP
! Energy ... -6.4137 eV per atom
! Formation energy ... -0.1004 eV/atom
! D(E_F) ... 0.905 states/eV/atom
&SYSTEM
  ibrav = 0, nat = 5, ntyp = 4
/
ATOMIC_SPECIES
Tc 98.00 Tc.upf
Y 88.91 Y.upf
B 10.81 B.upf
Mg 24.30 Mg.upf
CELL_PARAMETERS angstrom
-3.374 -3.488 -1.725
3.318 -3.772 1.134
-1.600 -0.290 3.715
ATOMIC_POSITIONS angstrom
Tc -0.800 -0.145 1.858
Y 1.659 -1.886 0.567
B 0.000 0.000 0.000
Y -1.687 -1.744 -0.863
Mg -0.828 -3.775 1.562